Compound: U6InSe12
Source: the Alexandria database
Functional: GGA-PBE
Structure: optimized geometry

Lattice parameters (Å, degrees): 8.265 8.265 8.265 100.53 100.53 100.53
Fractional positions:
U 0.124 0.632 0.807
U 0.193 0.876 0.368
U 0.368 0.193 0.876
U 0.632 0.807 0.124
U 0.807 0.124 0.632
U 0.876 0.368 0.193
In 0.500 0.500 0.500
Se 0.070 0.924 0.676
Se 0.076 0.324 0.930
Se 0.176 0.548 0.440
Se 0.324 0.930 0.076
Se 0.440 0.176 0.548
Se 0.452 0.560 0.824
Se 0.548 0.440 0.176
Se 0.560 0.824 0.452
Se 0.676 0.070 0.924
Se 0.824 0.452 0.560
Se 0.924 0.676 0.070
Se 0.930 0.076 0.324

Values from the calculation:
Raw formation energy = -1018 meV per atom
M_tot = 15.06 μB/f.u.

---

Compound: GaNi3Pb
Source: the Alexandria database
Functional: GGA-PBE
Structure: optimized geometry

Lattice parameters (Å, degrees): 4.797 4.797 4.797 90.00 90.00 90.00
Fractional positions:
Ga 0.000 0.000 0.000
Ni 0.000 0.500 0.500
Ni 0.500 0.000 0.500
Ni 0.500 0.500 0.000
Pb 0.500 0.500 0.500

Values from the calculation:
E_form = 1.18 eV/atom
M_tot = 0.73 μB/f.u.
Offset from the most stable computed form = 0.7252 eV per atom

---

Compound: Nd3Cd2Au4
Source: the Alexandria database
Functional: GGA-PBE
Structure: optimized geometry

Lattice parameters (Å, degrees): 5.570 5.570 9.470 91.49 91.49 49.49
Fractional positions:
Nd 0.000 0.000 0.000
Nd 0.365 0.365 0.385
Nd 0.635 0.635 0.615
Cd 0.334 0.334 0.774
Cd 0.666 0.666 0.226
Au 0.069 0.069 0.371
Au 0.312 0.312 0.077
Au 0.688 0.688 0.923
Au 0.931 0.931 0.629

Values from the calculation:
E_form = -0.62 eV/atom
M_tot = 0.00 μB/f.u.
Offset from the most stable computed form = 0.0357 eV per atom

---

| no. | density of states at the Fermi level (states/eV/cell) |
| --- | --- |
| 1 | 43.45 |
| 2 | 8.82 |
| 3 | 5.83 |